1.
Entry from Alexandria via LeMat-Bulk: a geometry-optimized MnIn3Ge structure (PBE).

Lattice parameters (Å, degrees): 5.353 5.353 5.353 90.00 90.00 90.00
Space group Pm-3m (No. 221)
Inequivalent atoms, fractional coordinates:
Mn 0.000 0.000 0.000
In 0.000 0.500 0.500
Ge 0.500 0.500 0.500

Results
For the formation energy from the elements, the calculation gives 3.78 eV per formula unit. The calculation puts the relative energy among the computed polymorphs at 271 meV/atom. The calculation puts the electronic total energy at -3.64 eV per atom. As for the total moment: 4.34 Bohr magnetons per cell.

2.
Entry from Alexandria via LeMat-Bulk: a geometry-optimized MnIn3Ge structure (PBE).

Lattice parameters (Å, degrees): 5.062 5.062 5.062 90.00 90.00 90.00
Space group Pm-3m (No. 221)
Inequivalent atoms, fractional coordinates:
Mn 0.000 0.000 0.000
In 0.000 0.000 0.500
Ge 0.500 0.500 0.500

Results
For the formation energy from the elements, the calculation gives 2.43 eV per formula unit. The calculation puts the relative energy among the computed polymorphs at 0 meV/atom. The calculation puts the electronic total energy at -3.91 eV per atom. As for the total moment: 2.36 Bohr magnetons per cell.

3.
Entry from Alexandria via LeMat-Bulk: a geometry-optimized Mn2InGe structure (PBE).

Lattice parameters (Å, degrees): 7.005 7.005 5.604 90.00 90.00 90.00
Space group I-42d (No. 122)
Inequivalent atoms, fractional coordinates:
Mn 0.221 0.750 0.125
In 0.000 0.000 0.500
Ge 0.000 0.000 0.000

Results
For the formation energy from the elements, the calculation gives 1.50 eV per formula unit. The calculation puts the electronic total energy at -6.05 eV per atom. As for the total moment: 22.08 Bohr magnetons per cell.

4.
Entry from Alexandria via LeMat-Bulk: a geometry-optimized NaMnInGe2 structure (PBE).

Lattice parameters (Å, degrees): 4.637 4.637 5.076 90.00 90.00 90.00
Space group P4/mmm (No. 123)
Inequivalent atoms, fractional coordinates:
Na 0.000 0.000 0.000
Mn 0.500 0.500 0.500
In 0.500 0.500 0.000
Ge 0.000 0.500 0.500

Results
For the formation energy from the elements, the calculation gives 0.26 eV per formula unit. The calculation puts the electronic total energy at -4.44 eV per atom. As for the total moment: 0.79 Bohr magnetons per cell.

Question: The highest formation energy from the elements belongs to which entry?
Answer: number 1